1.
## Ti2AlGa2 (PBE-GGA)

Data for Ti2AlGa2 after structural relaxation.

Structure (POSCAR):
```
Ti2AlGa2
1.0
6.7967 0.0000 0.0000
0.0000 6.7967 0.0000
0.0000 0.0000 3.7731
Al Ga Ti
2 4 4
direct
0.0000 0.0000 0.0000
0.5000 0.5000 0.0000
0.1508 0.6508 0.5000
0.6508 0.8492 0.5000
0.8492 0.3492 0.5000
0.3492 0.1508 0.5000
0.3474 0.8474 0.0000
0.8474 0.6526 0.0000
0.6526 0.1526 0.0000
0.1526 0.3474 0.0000
```

Results
Its total energy is -5.2573 eV/atom. The space group is P4/mbm, No. 127. The calculation puts the energy relative to the lowest polymorph listed for this composition at 275 meV/atom. For the density of states at the Fermi level, the calculation gives 8.63 states/eV per cell. As for the energy of formation from the pure elements: -0.140 eV/atom.


2.
## Ti5AlGa4 (PBE-GGA)

Data for Ti5AlGa4 after structural relaxation.

Structure (POSCAR):
```
Ti5AlGa4
1.0
3.3975 0.0000 0.0000
0.0000 3.3975 0.0000
0.0000 0.0000 13.8970
Ti Al Ga
5 1 4
direct
0.5000 0.5000 0.1046
0.5000 0.5000 0.3008
0.5000 0.5000 0.5000
0.5000 0.5000 0.6992
0.5000 0.5000 0.8954
0.0000 0.0000 0.0000
0.0000 0.0000 0.2003
0.0000 0.0000 0.4008
0.0000 0.0000 0.5992
0.0000 0.0000 0.7997
```

Results
Its total energy is -5.8732 eV/atom. The space group is P4/mmm, No. 123. The calculation puts the energy relative to the lowest polymorph listed for this composition at 0 meV/atom. For the density of states at the Fermi level, the calculation gives 11.74 states/eV per cell. As for the energy of formation from the pure elements: -0.341 eV/atom.


3.
## Ti3AlGa (PBE-GGA)

Data for Ti3AlGa after structural relaxation.

Structure (POSCAR):
```
Ti3AlGa
1.0
4.9372 0.0000 0.0000
0.0000 4.4495 -2.3605
0.0000 1.0643 7.3800
Ti Al Ga
6 2 2
direct
0.7500 0.9119 0.3212
0.7500 0.4093 0.3212
0.2500 0.5907 0.6788
0.2500 0.0881 0.6788
0.0000 0.0000 0.0000
0.5000 0.0000 0.0000
0.7500 0.4473 0.8946
0.2500 0.5527 0.1054
0.7500 0.8313 0.6626
0.2500 0.1687 0.3374
```

Results
Its total energy is -6.1477 eV/atom. The space group is Cmcm, No. 63. The calculation puts the energy relative to the lowest polymorph listed for this composition at 0 meV/atom. For the density of states at the Fermi level, the calculation gives 8.90 states/eV per cell. As for the energy of formation from the pure elements: -0.057 eV/atom.


4.
## Ti5AlGa2 (PBE-GGA)

Data for Ti5AlGa2 after structural relaxation.

Structure (POSCAR):
```
Ti5AlGa2
1.0
-5.9498 0.0100 -3.5452
3.4865 -1.2389 -5.8548
0.7136 -4.8784 5.5538
Ti Al Ga
10 2 4
direct
0.5003 0.6848 0.6851
0.8152 0.9997 0.3149
0.0000 0.0000 0.0000
0.5000 0.5000 0.0000
0.1848 0.0003 0.6851
0.6848 0.1848 0.6851
0.0003 0.5003 0.6851
0.3152 0.8152 0.3149
0.9997 0.4997 0.3149
0.4997 0.3152 0.3149
0.7500 0.7500 0.5000
0.2500 0.2500 0.5000
0.1404 0.3596 0.0000
0.6404 0.1404 0.0000
0.3596 0.8596 0.0000
0.8596 0.6404 0.0000
```

Results
Its total energy is -6.4682 eV/atom. The space group is I4/mcm, No. 140. The calculation puts the energy relative to the lowest polymorph listed for this composition at 55 meV/atom. For the density of states at the Fermi level, the calculation gives 19.31 states/eV per cell. As for the energy of formation from the pure elements: -0.309 eV/atom.


5.
## Ti2AlGa2 (PBE-GGA)

Data for Ti2AlGa2 after structural relaxation.

Structure (POSCAR):
```
Ti2AlGa2
1.0
-2.4337 1.3136 0.8944
-2.2040 -2.2547 -2.6855
0.2721 -3.5404 5.9402
Ti Al Ga
2 1 2
direct
0.5000 0.3919 0.7843
0.5000 0.6081 0.2157
0.0000 0.0000 0.0000
0.0000 0.8033 0.6069
0.0000 0.1967 0.3931
```

Results
Its total energy is -5.5095 eV/atom. The space group is Cmmm, No. 65. The calculation puts the energy relative to the lowest polymorph listed for this composition at 23 meV/atom. For the density of states at the Fermi level, the calculation gives 3.26 states/eV per cell. As for the energy of formation from the pure elements: -0.392 eV/atom.


6.
## Ti9Al2Ga (PBE-GGA)

Data for Ti9Al2Ga after structural relaxation.

Structure (POSCAR):
```
Ti9Al2Ga
1.0
-2.3723 2.2736 2.3445
-2.7261 0.2170 -2.9690
-5.3986 -9.9917 4.2266
Ti Al Ga
9 2 1
direct
0.5000 0.5000 0.0000
0.5000 0.5000 0.3322
0.5000 0.5000 0.6678
0.5000 0.0000 0.1657
0.5000 0.0000 0.5000
0.5000 0.0000 0.8343
0.0000 0.5000 0.1657
0.0000 0.5000 0.5000
0.0000 0.5000 0.8343
0.0000 0.0000 0.3328
0.0000 0.0000 0.6672
0.0000 0.0000 0.0000
```

Results
Its total energy is -7.0742 eV/atom. The space group is P4/mmm, No. 123. For the density of states at the Fermi level, the calculation gives 12.93 states/eV per cell. As for the energy of formation from the pure elements: -0.277 eV/atom.


7.
## Ti8Al3Ga2 (PBE-GGA)

Data for Ti8Al3Ga2 after structural relaxation.

Structure (POSCAR):
```
Ti8Al3Ga2
1.0
-3.6511 1.7348 1.1206
0.4396 -2.9104 5.9381
3.5724 8.1607 -0.9938
Ti Al Ga
8 3 2
direct
0.0000 0.7634 0.3655
0.0000 0.2366 0.6345
0.0000 0.0802 0.2305
0.0000 0.9198 0.7695
0.5000 0.5723 0.7040
0.5000 0.2840 0.8498
0.5000 0.7160 0.1502
0.5000 0.4277 0.2960
0.5000 0.0000 0.0000
0.0000 0.3554 0.0702
0.0000 0.6446 0.9298
0.5000 0.1323 0.4313
0.5000 0.8677 0.5687
```

Results
Its total energy is -6.4400 eV/atom. The space group is P2/m, No. 10. For the density of states at the Fermi level, the calculation gives 10.81 states/eV per cell. As for the energy of formation from the pure elements: -0.252 eV/atom.


8.
## Ti5Al4Ga (PBE-GGA)

Data for Ti5Al4Ga after structural relaxation.

Structure (POSCAR):
```
Ti5Al4Ga
1.0
4.8776 0.0000 0.0000
2.4388 6.0953 0.0000
2.4388 0.0000 6.0953
Ti Al Ga
5 4 1
direct
0.8433 0.3955 0.9153
0.2388 0.9153 0.6045
0.7586 0.0847 0.3955
0.1540 0.6045 0.0847
0.5100 0.0000 0.0000
0.4478 0.4072 0.6948
0.8551 0.6948 0.5928
0.1426 0.3052 0.4072
0.5499 0.5928 0.3052
0.0103 0.0000 0.0000
```

Results
Its total energy is -5.6752 eV/atom. The space group is I4, No. 79. The calculation puts the energy relative to the lowest polymorph listed for this composition at 366 meV/atom. For the density of states at the Fermi level, the calculation gives 10.67 states/eV per cell. As for the energy of formation from the pure elements: 0.072 eV/atom.


9.
## Ti6Al2Ga (PBE-GGA)

Data for Ti6Al2Ga after structural relaxation.

Structure (POSCAR):
```
Ti6Al2Ga
1.0
4.3465 0.0000 -0.1647
0.0000 6.1395 0.0000
-1.9214 -3.0697 6.5885
Ti Al Ga
6 2 1
direct
0.1657 0.4156 0.3321
0.8343 0.0835 0.6679
0.8343 0.5844 0.6679
0.5000 0.2482 0.0000
0.1657 0.9165 0.3321
0.5000 0.7518 0.0000
0.6659 0.6664 0.3327
0.3341 0.3336 0.6673
0.0000 0.0000 0.0000
```

Results
Its total energy is -6.2313 eV/atom. The space group is Immm, No. 71. The calculation puts the energy relative to the lowest polymorph listed for this composition at 332 meV/atom. For the density of states at the Fermi level, the calculation gives 9.91 states/eV per cell. As for the energy of formation from the pure elements: 0.200 eV/atom.


10.
## Ti5Al2Ga (PBE-GGA)

Data for Ti5Al2Ga after structural relaxation.

Structure (POSCAR):
```
Ti5Al2Ga
1.0
3.8437 0.0000 -1.0566
-0.2904 3.8327 -1.0566
0.3075 0.3317 8.6385
Ti Al Ga
5 2 1
direct
0.5000 0.5000 0.0000
0.8745 0.3745 0.7491
0.3745 0.8745 0.7491
0.1255 0.6255 0.2509
0.6255 0.1255 0.2509
0.7493 0.7493 0.4985
0.2507 0.2507 0.5015
0.0000 0.0000 0.0000
```

Results
Its total energy is -6.6058 eV/atom. The space group is I4/mmm, No. 139. The calculation puts the energy relative to the lowest polymorph listed for this composition at 0 meV/atom. For the density of states at the Fermi level, the calculation gives 9.23 states/eV per cell. As for the energy of formation from the pure elements: -0.357 eV/atom.


11.
## Ti2Al4Ga (PBE-GGA)

Data for Ti2Al4Ga after structural relaxation.

Structure (POSCAR):
```
Ti2Al4Ga
1.0
4.8208 0.0000 0.0000
0.0000 4.8208 0.0000
2.4104 2.4104 6.5348
Al Ga Ti
4 1 2
direct
0.1898 0.1898 0.6204
0.8102 0.8102 0.3796
0.0000 0.5000 0.0000
0.5000 0.0000 0.0000
0.0000 0.0000 0.0000
0.3974 0.3974 0.2053
0.6026 0.6026 0.7947
```

Results
Its total energy is -4.2922 eV/atom. The space group is I4/mmm, No. 139. The calculation puts the energy relative to the lowest polymorph listed for this composition at 718 meV/atom. For the density of states at the Fermi level, the calculation gives 5.94 states/eV per cell. As for the energy of formation from the pure elements: 0.535 eV/atom.


12.
## Ti2AlGa7 (PBE-GGA)

Data for Ti2AlGa7 after structural relaxation.

Structure (POSCAR):
```
Ti2AlGa7
1.0
-0.2997 3.9577 0.6659
-3.1500 0.9487 -7.0559
-4.3590 -1.3899 6.2989
Ti Al Ga
2 1 7
direct
0.5000 0.7036 0.2964
0.5000 0.2964 0.7036
0.0000 0.0000 0.0000
0.0000 0.8169 0.1831
0.0000 0.1831 0.8169
0.5000 0.0967 0.3032
0.5000 0.9033 0.6968
0.5000 0.3032 0.0967
0.5000 0.6968 0.9033
0.5000 0.5000 0.5000
```

Results
Its total energy is -3.9456 eV/atom. The space group is Cmmm, No. 65. For the density of states at the Fermi level, the calculation gives 5.61 states/eV per cell. As for the energy of formation from the pure elements: 0.126 eV/atom.